Entry from Alexandria via LeMat-Bulk: a relaxed Tl2InPt crystal (PBE-GGA).

a = 3.428 Å, b = 3.428 Å, c = 8.521 Å
α = 90.00°, β = 90.00°, γ = 90.00°
Space group P4mm (No. 99)
One atom of each set of equivalent atoms:
Tl (0.000, 0.000, 0.000)
Tl (0.500, 0.500, 0.319)
In (0.000, 0.000, 0.608)
Pt (0.500, 0.500, 0.775)

Energy in eV per formula unit: -13.936
ΔE to the lowest computed polymorph in meV/atom: 4.9
ΔH_f (0 K) in eV per atom: -0.106

Entry from Alexandria via LeMat-Bulk: a relaxed Y2Fe17CN crystal (PBE-GGA).

a = 6.438 Å, b = 6.468 Å, c = 6.509 Å
α = 83.66°, β = 83.51°, γ = 83.06°
Space group P-1 (No. 2)
One atom of each set of equivalent atoms:
Y (0.161, 0.151, 0.159)
Fe (0.000, 0.500, 0.500)
Fe (0.153, 0.156, 0.644)
Fe (0.155, 0.646, 0.160)
Fe (0.211, 0.788, 0.502)
Fe (0.213, 0.502, 0.784)
Fe (0.351, 0.844, 0.841)
Fe (0.403, 0.404, 0.405)
Fe (0.498, 0.218, 0.782)
Fe (0.500, 0.000, 0.500)
Fe (0.500, 0.500, 0.000)
C (0.000, 0.500, 0.000)
N (0.500, 0.000, 0.000)

Energy in eV per formula unit: -176.727

Entry from Alexandria via LeMat-Bulk: a relaxed CaRu4Pb crystal (PBE-GGA).

a = 7.535 Å, b = 7.535 Å, c = 7.535 Å
α = 90.00°, β = 90.00°, γ = 90.00°
Space group F-43m (No. 216)
One atom of each set of equivalent atoms:
Ca (0.000, 0.000, 0.000)
Ru (0.124, 0.124, 0.376)
Pb (0.250, 0.250, 0.750)

Energy in eV per formula unit: -40.987
ΔH_f (0 K) in eV per atom: 0.304

Entry from Alexandria via LeMat-Bulk: a relaxed ScAl4Pd crystal (PBE-GGA).

a = 6.469 Å, b = 19.126 Å, c = 4.525 Å
α = 90.00°, β = 134.03°, γ = 90.00°
Space group C2/m (No. 12)
One atom of each set of equivalent atoms:
Sc (0.249, 0.000, 0.000)
Al (0.249, 0.177, 0.999)
Al (0.249, 0.403, 0.498)
Pd (0.250, 0.250, 0.500)

Energy in eV per formula unit: -29.068
ΔH_f (0 K) in eV per atom: -0.429

Entry from Alexandria via LeMat-Bulk: a relaxed NiSb2Pb crystal (PBE-GGA).

a = 6.912 Å, b = 3.960 Å, c = 7.584 Å
α = 90.00°, β = 106.78°, γ = 90.00°
Space group C2/m (No. 12)
One atom of each set of equivalent atoms:
Ni (0.000, 0.000, 0.000)
Sb (0.221, 0.500, 0.167)
Pb (0.000, 0.500, 0.500)

Energy in eV per formula unit: -17.932

Entry from Alexandria via LeMat-Bulk: a relaxed Cs2TlHCl6 crystal (PBE-GGA).

a = 7.020 Å, b = 7.020 Å, c = 11.572 Å
α = 90.00°, β = 90.00°, γ = 90.00°
Space group I4/mmm (No. 139)
One atom of each set of equivalent atoms:
Cs (0.000, 0.500, 0.250)
Tl (0.000, 0.000, 0.000)
H (0.000, 0.000, 0.500)
Cl (0.000, 0.000, 0.220)
Cl (0.226, 0.226, 0.500)

Energy in eV per formula unit: -27.976
ΔE to the lowest computed polymorph in meV/atom: 266.6

Entry from Alexandria via LeMat-Bulk: a relaxed Er3Np3ScSe8 crystal (PBE-GGA).

a = 8.0907 Å, b = 8.0907 Å, c = 19.8775 Å
α = 90.00°, β = 90.00°, γ = 120.00°
Space group R-3m (No. 166, hexagonal axes)
One atom of each set of equivalent atoms:
Er (0.0000, 0.5000, 0.0000)
Np (0.0000, 0.5000, 0.5000)
Sc (0.0000, 0.0000, 0.0000)
Se (0.0000, 0.0000, 0.2520)
Se (0.0031, 0.5015, 0.7470)

Energy in eV per formula unit: -109.161

Entry from Alexandria via LeMat-Bulk: a relaxed K2ZrIr crystal (PBE-GGA).

a = 3.533 Å, b = 3.533 Å, c = 11.042 Å
α = 90.00°, β = 90.00°, γ = 90.00°
Space group P4mm (No. 99)
One atom of each set of equivalent atoms:
K (0.000, 0.000, 0.000)
K (0.500, 0.500, 0.388)
Zr (0.000, 0.000, 0.680)
Ir (0.500, 0.500, 0.772)

Energy in eV per formula unit: -19.192
ΔE to the lowest computed polymorph in meV/atom: 0.0
ΔH_f (0 K) in eV per atom: 0.103

Repeat the fourth record exactly.
Entry from Alexandria via LeMat-Bulk: a relaxed ScAl4Pd crystal (PBE-GGA).

a = 6.469 Å, b = 19.126 Å, c = 4.525 Å
α = 90.00°, β = 134.03°, γ = 90.00°
Space group C2/m (No. 12)
One atom of each set of equivalent atoms:
Sc (0.249, 0.000, 0.000)
Al (0.249, 0.177, 0.999)
Al (0.249, 0.403, 0.498)
Pd (0.250, 0.250, 0.500)

Energy in eV per formula unit: -29.068
ΔH_f (0 K) in eV per atom: -0.429